<a>
The following is a DFT calculation (PBE) of crystalline NdDy8Er2 at its relaxed geometry.

Summary:
M_tot = 0.000 μB/f.u.

Cell lengths 5.4968, 8.1172, 15.8745 Å; angles 90.00, 90.00, 90.00 degrees
Space group Immm (No. 71)
Symmetry-distinct sites (fractional):
1 Nd 0.0000 0.0000 0.0000
2 Dy 0.0000 0.2044 0.5000
3 Dy 0.0000 0.2938 0.1395
4 Dy 0.0000 0.5000 0.3362
5 Er 0.0000 0.0000 0.3005

=====

<b>
The following is a DFT calculation (PBE) of crystalline NdDy8Er2 at its relaxed geometry.

Summary:
M_tot = 0.000 μB/f.u.

Cell lengths 19.1206, 6.9124, 5.5222 Å; angles 90.00, 92.92, 90.00 degrees
Space group C2/m (No. 12)
Symmetry-distinct sites (fractional):
1 Nd 0.0000 0.0000 0.0000
2 Dy 0.0469 0.5000 0.2377
3 Dy 0.1340 0.2666 0.7320
4 Dy 0.1887 0.0000 0.2330
5 Er 0.2156 0.5000 0.2509

=====

Verdict on stability: <b> comes out at the bottom.

=====

<a>
The following is a DFT calculation (PBE) of crystalline Nd3Dy5Er4 at its relaxed geometry.

Summary:
M_tot = 0.000 μB/f.u.

Cell lengths 6.1724, 7.1250, 8.7263 Å; angles 90.03, 90.12, 90.16 degrees
Space group P-1 (No. 2)
Symmetry-distinct sites (fractional):
1 Nd 0.0000 0.0000 0.0000
2 Nd 0.1659 0.7493 0.6655
3 Dy 0.0000 0.5000 0.0000
4 Dy 0.3349 0.9998 0.3333
5 Dy 0.4988 0.2517 0.9999
6 Er 0.1685 0.2517 0.6664
7 Er 0.3340 0.4999 0.3331

=====

<b>
The following is a DFT calculation (PBE) of crystalline Nd3Dy5Er4 at its relaxed geometry.

Summary:
M_tot = 0.134 μB/f.u.

Cell lengths 15.9835, 5.9107, 9.2541 Å; angles 90.00, 116.12, 90.00 degrees
Space group C2/m (No. 12)
Symmetry-distinct sites (fractional):
1 Nd 0.0000 0.0000 0.0000
2 Nd 0.2081 0.5000 0.2296
3 Dy 0.0000 0.5000 0.0000
4 Dy 0.0740 0.0000 0.6969
5 Dy 0.1724 0.0000 0.3882
6 Er 0.0815 0.5000 0.4416
7 Er 0.2092 0.5000 0.8759

=====

Verdict on stability: <b> comes out at the bottom.

=====

<a>
The following is a DFT calculation (PBE) of crystalline Nd2Dy2Er at its relaxed geometry.

Summary:
M_tot = 0.000 μB/f.u.

Cell lengths 3.6472, 5.7297, 31.7793 Å; angles 90.00, 90.00, 90.00 degrees
Space group Imma (No. 74)
Symmetry-distinct sites (fractional):
1 Nd 0.0000 0.2500 0.0221
2 Nd 0.0000 0.2500 0.1213
3 Dy 0.0000 0.2500 0.2912
4 Dy 0.0000 0.2500 0.8042
5 Er 0.0000 0.2500 0.5808

=====

<b>
The following is a DFT calculation (PBE) of crystalline Nd2Dy2Er at its relaxed geometry.

Summary:
M_tot = 0.000 μB/f.u.

Cell lengths 15.8634, 6.3325, 6.8006 Å; angles 90.00, 103.98, 90.00 degrees
Space group C2/c (No. 15)
Symmetry-distinct sites (fractional):
1 Nd 0.1988 0.0864 0.1520
2 Dy 0.0973 0.4168 0.4517
3 Er 0.0000 0.0841 0.7500

=====

Verdict on stability: <a> comes out at the bottom.

=====

<a>
The following is a DFT calculation (PBE) of crystalline Nd5Dy4Er at its relaxed geometry.

Summary:
M_tot = 0.000 μB/f.u.

Cell lengths 3.6079, 9.5287, 10.2187 Å; angles 74.36, 89.96, 79.15 degrees
Space group P-1 (No. 2)
Symmetry-distinct sites (fractional):
1 Nd 0.0000 0.0000 0.0000
2 Nd 0.2002 0.5996 0.1004
3 Nd 0.4011 0.1991 0.6952
4 Dy 0.1988 0.6011 0.5997
5 Dy 0.4000 0.2005 0.2046
6 Er 0.0000 0.0000 0.5000

=====

<b>
The following is a DFT calculation (PBE) of crystalline Nd5Dy4Er at its relaxed geometry.

Summary:
M_tot = 0.000 μB/f.u.

Cell lengths 18.2533, 3.6006, 10.5004 Å; angles 90.00, 96.15, 90.00 degrees
Space group C2/m (No. 12)
Symmetry-distinct sites (fractional):
1 Nd 0.0000 0.0000 0.0000
2 Nd 0.1419 0.5000 0.7290
3 Nd 0.1892 0.5000 0.0978
4 Dy 0.0453 0.5000 0.2637
5 Dy 0.1822 0.0000 0.4137
6 Er 0.0000 0.0000 0.5000

=====

Verdict on stability: <b> comes out at the bottom.

=====

<a>
The following is a DFT calculation (PBE) of crystalline Nd3Dy4Er4 at its relaxed geometry.

Summary:
M_tot = 0.000 μB/f.u.

Cell lengths 10.5964, 5.6924, 12.0108 Å; angles 90.00, 90.00, 90.00 degrees
Space group Amm2 (No. 38)
Symmetry-distinct sites (fractional):
1 Nd 0.0000 0.0000 0.0000
2 Nd 0.2918 0.0000 0.1531
3 Dy 0.0000 0.0000 0.7025
4 Dy 0.2143 0.0000 0.4969
5 Dy 0.5000 0.0000 0.6344
6 Er 0.0000 0.0000 0.3016
7 Er 0.2958 0.0000 0.8482
8 Er 0.5000 0.0000 0.3613

=====

<b>
The following is a DFT calculation (PBE) of crystalline Nd3Dy4Er4 at its relaxed geometry.

Summary:
M_tot = 0.000 μB/f.u.

Cell lengths 3.5691, 5.0318, 19.8692 Å; angles 82.74, 84.91, 90.00 degrees
Space group P-1 (No. 2)
Symmetry-distinct sites (fractional):
1 Nd 0.0000 0.0000 0.0000
2 Nd 0.3624 0.3636 0.2741
3 Dy 0.1841 0.1832 0.6338
4 Dy 0.4540 0.4549 0.0922
5 Er 0.0899 0.0895 0.8180
6 Er 0.2728 0.2721 0.4555

=====

Verdict on stability: <a> comes out at the bottom.

=====

<a>
The following is a DFT calculation (PBE) of crystalline Nd3Dy2Er6 at its relaxed geometry.

Summary:
M_tot = 0.000 μB/f.u.

Cell lengths 4.7395, 4.7395, 33.1538 Å; angles 90.00, 90.00, 90.00 degrees
Space group I4/mmm (No. 139)
Symmetry-distinct sites (fractional):
1 Nd 0.0000 0.0000 0.0000
2 Nd 0.0000 0.0000 0.2041
3 Dy 0.0000 0.0000 0.4537
4 Er 0.0000 0.0000 0.3080
5 Er 0.0000 0.5000 0.1205

=====

<b>
The following is a DFT calculation (PBE) of crystalline Nd3Dy2Er6 at its relaxed geometry.

Summary:
M_tot = 0.168 μB/f.u.

Cell lengths 6.1473, 10.6754, 11.5414 Å; angles 90.00, 100.44, 90.00 degrees
Space group C2/m (No. 12)
Symmetry-distinct sites (fractional):
1 Nd 0.0000 0.0000 0.0000
2 Nd 0.0000 0.3357 0.0000
3 Dy 0.0000 0.1661 0.5000
4 Er 0.2480 0.3335 0.7456
5 Er 0.2487 0.0000 0.7461

=====

Verdict on stability: <a> comes out at the bottom.

=====

<a>
The following is a DFT calculation (PBE) of crystalline Nd6Dy3Er at its relaxed geometry.

Summary:
M_tot = 0.000 μB/f.u.

Cell lengths 5.4998, 10.3544, 12.4815 Å; angles 90.00, 100.50, 90.00 degrees
Space group P2_1/c (No. 14)
Symmetry-distinct sites (fractional):
1 Nd 0.0060 0.1864 0.0044
2 Nd 0.1030 0.0039 0.7701
3 Nd 0.4226 0.1709 0.3559
4 Dy 0.4234 0.6677 0.8642
5 Dy 0.5000 0.0000 0.0000
6 Er 0.0000 0.0000 0.5000

=====

<b>
The following is a DFT calculation (PBE) of crystalline Nd6Dy3Er at its relaxed geometry.

Summary:
M_tot = 0.000 μB/f.u.

Cell lengths 10.9742, 19.3569, 6.3919 Å; angles 90.00, 90.00, 90.00 degrees
Space group Cmc2_1 (No. 36)
Symmetry-distinct sites (fractional):
1 Nd 0.0000 0.0356 0.0000
2 Nd 0.0000 0.2798 0.2327
3 Nd 0.1698 0.4574 0.3374
4 Nd 0.2301 0.2894 0.5274
5 Dy 0.0000 0.3857 0.8053
6 Dy 0.1690 0.1146 0.4181
7 Er 0.0000 0.1945 0.7737

=====

Verdict on stability: <a> comes out at the bottom.

=====

<a>
The following is a DFT calculation (PBE) of crystalline Nd4DyEr6 at its relaxed geometry.

Summary:
M_tot = 0.000 μB/f.u.

Cell lengths 6.6420, 6.6420, 16.9617 Å; angles 90.00, 90.00, 90.00 degrees
Space group I-42m (No. 121)
Symmetry-distinct sites (fractional):
1 Nd 0.1897 0.1897 0.3247
2 Dy 0.0000 0.0000 0.5000
3 Er 0.0000 0.5000 0.0000
4 Er 0.1781 0.1781 0.1245

=====

<b>
The following is a DFT calculation (PBE) of crystalline Nd4DyEr6 at its relaxed geometry.

Summary:
M_tot = 0.000 μB/f.u.

Cell lengths 10.9570, 10.9570, 3.5221 Å; angles 90.00, 90.00, 120.00 degrees
Space group P-6m2 (No. 187)
Symmetry-distinct sites (fractional):
1 Nd 0.0000 0.0000 0.0000
2 Nd 0.0586 0.5293 0.5000
3 Dy 0.6667 0.3333 0.0000
4 Er 0.1629 0.3258 0.0000
5 Er 0.3292 0.1646 0.5000

=====

Verdict on stability: <a> comes out at the bottom.

=====

<a>
The following is a DFT calculation (PBE) of crystalline Nd2DyEr4 at its relaxed geometry.

Summary:
M_tot = 0.000 μB/f.u.

Cell lengths 3.5101, 8.5762, 8.5887 Å; angles 61.97, 81.72, 88.18 degrees
Space group P-1 (No. 2)
Symmetry-distinct sites (fractional):
1 Nd 0.0788 0.1312 0.2770
2 Dy 0.5000 0.0000 0.0000
3 Er 0.1215 0.5805 0.1566
4 Er 0.4649 0.2843 0.5507

=====

<b>
The following is a DFT calculation (PBE) of crystalline Nd2DyEr4 at its relaxed geometry.

Summary:
M_tot = 0.000 μB/f.u.

Cell lengths 6.0620, 8.3913, 9.5068 Å; angles 88.41, 78.49, 72.44 degrees
Space group P1 (No. 1)
Symmetry-distinct sites (fractional):
1 Nd 0.0000 0.0000 0.0000
2 Nd 0.0060 0.8848 0.3534
3 Nd 0.1564 0.4882 0.4932
4 Nd 0.2659 0.0430 0.6253
5 Dy 0.1155 0.5503 0.1235
6 Dy 0.9058 0.4183 0.8466
7 Er 0.2776 0.1526 0.2633
8 Er 0.3623 0.6250 0.7730
9 Er 0.4652 0.2090 0.9062
10 Er 0.5502 0.7751 0.0669
11 Er 0.5986 0.6850 0.4193
12 Er 0.6710 0.3621 0.1978
13 Er 0.7209 0.2630 0.5501
14 Er 0.8034 0.8360 0.7151

=====

Verdict on stability: <a> comes out at the bottom.

=====

<a>
The following is a DFT calculation (PBE) of crystalline Nd12DyEr6 at its relaxed geometry.

Summary:
M_tot = 0.000 μB/f.u.

Cell lengths 12.1407, 12.1407, 15.2992 Å; angles 90.00, 90.00, 120.00 degrees
Space group R-3 (No. 148, hexagonal axes)
Symmetry-distinct sites (fractional):
1 Nd 0.0017 0.1735 0.1917
2 Nd 0.0477 0.1981 0.4162
3 Dy 0.0000 0.0000 0.0000
4 Er 0.0167 0.5878 0.6876

=====

<b>
The following is a DFT calculation (PBE) of crystalline Nd12DyEr6 at its relaxed geometry.

Summary:
M_tot = 0.000 μB/f.u.

Cell lengths 15.7626, 15.7626, 8.8732 Å; angles 90.00, 90.00, 120.00 degrees
Space group R-3 (No. 148, hexagonal axes)
Symmetry-distinct sites (fractional):
1 Nd 0.0354 0.7560 0.3361
2 Nd 0.0710 0.5090 0.6663
3 Dy 0.0000 0.0000 0.0000
4 Er 0.0170 0.8796 0.6656

=====

Verdict on stability: <a> comes out at the bottom.